1.
# Li2ReBr

A geometry-optimized Li2ReBr structure (PBE-GGA, Alexandria via LeMat-Bulk).

Output
ΔE_f (raw) ... 875 meV/atom
DOS(E_F) ... 2.6 states/eV/f.u.
E above lowest polymorph ... 74.4 kJ per mole of atoms
Total magnetic moment ... 7.57 μB per cell

```
data_Li2ReBr
_cell_length_a 6.324
_cell_length_b 6.324
_cell_length_c 6.324
_cell_angle_alpha 90.00
_cell_angle_beta 90.00
_cell_angle_gamma 90.00
_space_group_name_H-M_alt 'F -4 3 m'
_space_group_IT_number 216
_space_group_name_Hall 'F -4 2 3'
loop_
_atom_site_label
_atom_site_type_symbol
_atom_site_fract_x
_atom_site_fract_y
_atom_site_fract_z
Li1 Li 0.000 0.000 0.000
Li2 Li 0.250 0.250 0.250
Re1 Re 0.000 0.000 0.500
Br1 Br 0.250 0.250 0.750
```

2.
# LiEuDyRh

A geometry-optimized LiEuDyRh structure (PBE-GGA, Alexandria via LeMat-Bulk).

Output
ΔH_f (0 K) ... -0.337 eV per atom
DOS(E_F) ... 2.3 states/eV/f.u.
Total magnetic moment ... 28.33 μB per cell

```
data_LiEuDyRh
_cell_length_a 7.088
_cell_length_b 7.088
_cell_length_c 7.088
_cell_angle_alpha 90.00
_cell_angle_beta 90.00
_cell_angle_gamma 90.00
_space_group_name_H-M_alt 'F -4 3 m'
_space_group_IT_number 216
_space_group_name_Hall 'F -4 2 3'
loop_
_atom_site_label
_atom_site_type_symbol
_atom_site_fract_x
_atom_site_fract_y
_atom_site_fract_z
Li1 Li 0.000 0.000 0.000
Eu1 Eu 0.250 0.250 0.750
Dy1 Dy 0.250 0.250 0.250
Rh1 Rh 0.000 0.000 0.500
```

3.
# Pr3Ga5Au6

A geometry-optimized Pr3Ga5Au6 structure (PBE-GGA, Alexandria via LeMat-Bulk).

Output
ΔH_f (0 K) ... -0.638 eV per atom
DOS(E_F) ... 8.0 states/eV/f.u.
Total magnetic moment ... 0.00 μB per cell

```
data_Pr3Ga5Au6
_cell_length_a 4.434
_cell_length_b 13.596
_cell_length_c 9.727
_cell_angle_alpha 90.00
_cell_angle_beta 90.00
_cell_angle_gamma 90.00
_space_group_name_H-M_alt 'P m m n'
_space_group_IT_number 59
loop_
_space_group_symop_operation_xyz
'x,y,z'
'-x,-y,-z'
'-x+1/2,-y+1/2,z'
'x+1/2,y+1/2,-z'
'x+1/2,-y,-z'
'-x+1/2,y,z'
'-x,y+1/2,-z'
'x,-y+1/2,z'
loop_
_atom_site_label
_atom_site_type_symbol
_atom_site_fract_x
_atom_site_fract_y
_atom_site_fract_z
Pr1 Pr 0.250 0.072 0.242
Pr2 Pr 0.250 0.750 0.249
Ga1 Ga 0.250 0.082 0.864
Ga2 Ga 0.250 0.637 0.546
Ga3 Ga 0.250 0.750 0.796
Au1 Au 0.250 0.059 0.597
Au2 Au 0.250 0.250 0.017
Au3 Au 0.250 0.250 0.483
Au4 Au 0.250 0.599 0.997
```